w:
Computed, not measured: a PBEsol-optimized structure of LaTe2PN at the SCAN level of DFT.

Summary:
The density of states at the Fermi level is 1.7 states/eV/f.u.

Unit cell a=5.787 b=5.787 c=3.371 alpha=90.00 beta=90.00 gamma=90.00
Space group P4/mmm (No. 123)
Symmetry-distinct sites (fractional):
La: 0.000 0.000 0.000 x1
Te: 0.000 0.500 0.500 x2
P: 0.500 0.500 0.500 x1
N: 0.500 0.500 0.000 x1



x:
Computed, not measured: a PBEsol-optimized structure of LaTe2PN at the SCAN level of DFT.

Summary:
The density of states at the Fermi level is 3.0 states/eV/f.u.

Unit cell a=6.167 b=6.167 c=4.009 alpha=90.00 beta=90.00 gamma=90.00
Space group P4/mmm (No. 123)
Symmetry-distinct sites (fractional):
La: 0.000 0.000 0.000 x1
Te: 0.000 0.500 0.000 x2
P: 0.500 0.500 0.500 x1
N: 0.000 0.000 0.500 x1



Sorted by energy, starting with the most stable: w, x.